1.
# PBE-GGA LiTmMnPt, optimized geometry
# Energy of formation ... -0.460 eV/atom
# Total DFT energy (no corrections) ... -5.859 eV/atom
# Density of states at the Fermi level ... 0.481 states/eV/atom
data_LiTmMnPt
_chemical_formula_sum 'Li4 Tm4 Mn4 Pt4'
_cell_length_a 6.5736
_cell_length_b 6.5736
_cell_length_c 6.5736
_cell_angle_alpha 90.00
_cell_angle_beta 90.00
_cell_angle_gamma 90.00
_space_group_name_H-M_alt 'F -4 3 m'
_space_group_IT_number 216
_space_group_name_Hall 'F -4 2 3'
loop_
_atom_site_label
_atom_site_fract_x
_atom_site_fract_y
_atom_site_fract_z
_atom_site_occupancy
Li1 0.0000 0.0000 0.0000 1
Tm1 0.2500 0.2500 0.2500 1
Mn1 0.2500 0.2500 0.7500 1
Pt1 0.0000 0.0000 0.5000 1

***

2.
# PBE-GGA Na3Li2TaS6, optimized geometry
# Uncorrected formation energy ... -0.93 eV per atom
# Total DFT energy (no corrections) ... -4.626 eV/atom
# Density of states at the Fermi level ... 1.008 states/eV/atom
data_Na3Li2TaS6
_chemical_formula_sum 'Na6 Li4 Ta2 S12'
_cell_length_a 6.4014
_cell_length_b 11.1074
_cell_length_c 6.9556
_cell_angle_alpha 90.00
_cell_angle_beta 107.99
_cell_angle_gamma 90.00
_space_group_name_H-M_alt 'C 1 2/m 1'
_space_group_IT_number 12
_space_group_name_Hall '-C 2y'
loop_
_atom_site_label
_atom_site_fract_x
_atom_site_fract_y
_atom_site_fract_z
_atom_site_occupancy
Na1 0.0000 0.0000 0.0000 1
Na2 0.0000 0.3289 0.0000 1
Li1 0.0000 0.1670 0.5000 1
Ta1 0.0000 0.5000 0.5000 1
S1 0.2283 0.3425 0.7130 1
S2 0.2432 0.5000 0.2883 1

***

3.
# PBE-GGA DyPuSbPd, optimized geometry
# Uncorrected formation energy ... -0.62 eV per atom
# Total DFT energy (no corrections) ... -7.685 eV/atom
# Density of states at the Fermi level ... 2.762 states/eV/atom
data_DyPuSbPd
_chemical_formula_sum 'Dy4 Pu4 Sb4 Pd4'
_cell_length_a 7.3224
_cell_length_b 7.3224
_cell_length_c 7.3224
_cell_angle_alpha 90.00
_cell_angle_beta 90.00
_cell_angle_gamma 90.00
_space_group_name_H-M_alt 'F -4 3 m'
_space_group_IT_number 216
_space_group_name_Hall 'F -4 2 3'
loop_
_atom_site_label
_atom_site_fract_x
_atom_site_fract_y
_atom_site_fract_z
_atom_site_occupancy
Dy1 0.0000 0.0000 0.0000 1
Pu1 0.0000 0.0000 0.5000 1
Sb1 0.2500 0.2500 0.2500 1
Pd1 0.2500 0.2500 0.7500 1

***

4.
# PBE-GGA ErBr2Cl, optimized geometry
# Energy relative to the lowest polymorph listed for this composition ... 0.0000 eV per atom
# Uncorrected formation energy ... -1.98 eV per atom
# Total DFT energy (no corrections) ... -4.424 eV/atom
# Density of states at the Fermi level ... 0.000 states/eV/atom
data_ErBr2Cl
_chemical_formula_sum 'Er2 Br4 Cl2'
_cell_length_a 15.4143
_cell_length_b 4.0664
_cell_length_c 5.2420
_cell_angle_alpha 90.00
_cell_angle_beta 91.08
_cell_angle_gamma 90.00
_space_group_name_H-M_alt 'C 1 2/m 1'
_space_group_IT_number 12
_space_group_name_Hall '-C 2y'
loop_
_atom_site_label
_atom_site_fract_x
_atom_site_fract_y
_atom_site_fract_z
_atom_site_occupancy
Er1 0.0000 0.0000 0.0000 1
Br1 0.1243 0.5000 0.0071 1
Cl1 0.0000 0.0000 0.5000 1

***

5.
# PBE-GGA RbNa3Cl3, optimized geometry
# Uncorrected formation energy ... -1.41 eV per atom
# Total DFT energy (no corrections) ... -2.903 eV/atom
# Density of states at the Fermi level ... 0.285 states/eV/atom
data_RbNa3Cl3
_chemical_formula_sum 'Rb2 Na6 Cl6'
_cell_length_a 7.8593
_cell_length_b 7.8593
_cell_length_c 7.8593
_cell_angle_alpha 90.00
_cell_angle_beta 90.00
_cell_angle_gamma 90.00
_space_group_name_H-M_alt 'P m -3 n'
_space_group_IT_number 223
_space_group_name_Hall '-P 4n 2 3'
loop_
_atom_site_label
_atom_site_fract_x
_atom_site_fract_y
_atom_site_fract_z
_atom_site_occupancy
Rb1 0.0000 0.0000 0.0000 1
Na1 0.0000 0.2500 0.5000 1
Cl1 0.0000 0.5000 0.2500 1

***

6.
# PBE-GGA Ca2PrN, optimized geometry
# Uncorrected formation energy ... -0.44 eV per atom
# Total DFT energy (no corrections) ... -4.722 eV/atom
# Density of states at the Fermi level ... 0.881 states/eV/atom
data_Ca2PrN
_chemical_formula_sum 'Ca6 Pr3 N3'
_cell_length_a 3.5503
_cell_length_b 3.5503
_cell_length_c 30.2485
_cell_angle_alpha 90.00
_cell_angle_beta 90.00
_cell_angle_gamma 120.00
_space_group_name_H-M_alt 'R -3 m'
_space_group_IT_number 166
_space_group_name_Hall '-R 3 2"'
loop_
_atom_site_label
_atom_site_fract_x
_atom_site_fract_y
_atom_site_fract_z
_atom_site_occupancy
Ca1 0.0000 0.0000 0.1247 1
Pr1 0.0000 0.0000 0.0000 1
N1 0.0000 0.0000 0.5000 1

***

7.
# PBE-GGA ScIrSe2N, optimized geometry
# Energy relative to the lowest polymorph listed for this composition ... 0.9709 eV per atom
# Uncorrected formation energy ... 0.80 eV per atom
# Total DFT energy (no corrections) ... -5.302 eV/atom
# Density of states at the Fermi level ... 0.893 states/eV/atom
data_ScIrSe2N
_chemical_formula_sum 'Sc1 Ir1 Se2 N1'
_cell_length_a 5.1080
_cell_length_b 5.1080
_cell_length_c 3.9046
_cell_angle_alpha 90.00
_cell_angle_beta 90.00
_cell_angle_gamma 90.00
_space_group_name_H-M_alt 'P 4/m m m'
_space_group_IT_number 123
_space_group_name_Hall '-P 4 2'
loop_
_atom_site_label
_atom_site_fract_x
_atom_site_fract_y
_atom_site_fract_z
_atom_site_occupancy
Sc1 0.0000 0.0000 0.0000 1
Ir1 0.5000 0.5000 0.5000 1
Se1 0.0000 0.5000 0.0000 1
N1 0.0000 0.0000 0.5000 1

***

8.
# PBE-GGA Y3ZnW, optimized geometry
# Energy of formation ... 0.652 eV/atom
# Energy relative to the lowest polymorph listed for this composition ... 0.0000 eV per atom
# Total DFT energy (no corrections) ... -6.071 eV/atom
# Density of states at the Fermi level ... 1.428 states/eV/atom
data_Y3ZnW
_chemical_formula_sum 'Y3 Zn1 W1'
_cell_length_a 5.4073
_cell_length_b 5.4073
_cell_length_c 5.4073
_cell_angle_alpha 90.00
_cell_angle_beta 90.00
_cell_angle_gamma 90.00
_space_group_name_H-M_alt 'P m -3 m'
_space_group_IT_number 221
_space_group_name_Hall '-P 4 2 3'
loop_
_atom_site_label
_atom_site_fract_x
_atom_site_fract_y
_atom_site_fract_z
_atom_site_occupancy
Y1 0.0000 0.0000 0.5000 1
Zn1 0.5000 0.5000 0.5000 1
W1 0.0000 0.0000 0.0000 1